[1]
Here is crystalline Ga2PtRh8 at its relaxed geometry from the Alexandria database. Energies are from GGA-PBE.

Properties
Uncorrected energy, eV/atom: -6.66
Symmetry: C2/m
Energy of formation from the pure elements, eV per atom: -0.209
Total magnetization, μB/f.u.: 0.0

abc: 3.9032 6.1404 7.1491
angles: 106.18 105.84 90.00
Sites, in units of the cell vectors:
Pt 0.5000 0.0000 0.0000
Ga 0.2246 0.6494 0.4491
Ga 0.7754 0.3506 0.5509
Rh 0.0454 0.7244 0.0908
Rh 0.1409 0.1917 0.2817
Rh 0.4049 0.5428 0.8099
Rh 0.3195 0.0871 0.6389
Rh 0.8591 0.8083 0.7183
Rh 0.6805 0.9129 0.3611
Rh 0.9546 0.2756 0.9092
Rh 0.5951 0.4572 0.1901

=====

[2]
Here is crystalline LiZnCl2 at its relaxed geometry from the Alexandria database. Energies are from GGA-PBE.

Properties
Uncorrected energy, eV/atom: -2.71
Symmetry: Cm
Excess energy over the best structure of this formula in the dataset, meV per atom: 14
E_form (uncorrected), eV/atom: -0.988
Total magnetization, μB/f.u.: 0.0

abc: 6.9413 6.9413 3.7303
angles: 90.55 90.55 31.08
Sites, in units of the cell vectors:
Zn 0.2223 0.2223 0.1288
Li 0.5350 0.5350 0.6200
Cl 0.0155 0.0155 0.1217
Cl 0.7271 0.7271 0.6295

=====

[3]
Here is crystalline PrNdSn at its relaxed geometry from the Alexandria database. Energies are from GGA-PBE.

Properties
Uncorrected energy, eV/atom: -4.76
Symmetry: Immm
Excess energy over the best structure of this formula in the dataset, meV per atom: 353
Energy of formation from the pure elements, eV per atom: -0.243
Total magnetization, μB/f.u.: 0.0

abc: 5.9581 3.5704 10.0019
angles: 100.28 107.33 90.00
Sites, in units of the cell vectors:
Pr 0.2523 0.5000 0.0000
Pr 0.7477 0.5000 0.0000
Nd 0.3272 0.8272 0.6545
Nd 0.6728 0.1727 0.3455
Sn 0.8429 0.3429 0.6857
Sn 0.1571 0.6571 0.3143

=====

[4]
Here is crystalline La2YZr at its relaxed geometry from the Alexandria database. Energies are from GGA-PBE.

Properties
Uncorrected energy, eV/atom: -6.08
Symmetry: P4/mmm
Excess energy over the best structure of this formula in the dataset, meV per atom: 34
Energy of formation from the pure elements, eV per atom: 0.134
Total magnetization, μB/f.u.: 0.0

abc: 5.0493 5.0493 4.9063
angles: 90.00 90.00 90.00
Sites, in units of the cell vectors:
Zr 0.0000 0.5000 0.5000
La 0.0000 0.0000 0.0000
La 0.5000 0.5000 0.0000
Y 0.5000 0.0000 0.5000

=====

[5]
Here is crystalline Cs2Tc2C at its relaxed geometry from the Alexandria database. Energies are from GGA-PBE.

Properties
Uncorrected energy, eV/atom: -3.89
Symmetry: P4/mbm
Excess energy over the best structure of this formula in the dataset, meV per atom: 1039
Energy of formation from the pure elements, eV per atom: 2.438
Total magnetization, μB/f.u.: 4.3

abc: 10.7969 10.7969 3.2944
angles: 90.00 90.00 90.00
Sites, in units of the cell vectors:
Cs 0.2926 0.7926 0.0000
Cs 0.7074 0.2074 0.0000
Cs 0.2074 0.2926 0.0000
Cs 0.7926 0.7074 0.0000
C 0.5000 0.5000 0.0000
C 0.0000 0.0000 0.0000
Tc 0.0675 0.5675 0.5000
Tc 0.9325 0.4325 0.5000
Tc 0.4325 0.0675 0.5000
Tc 0.5675 0.9325 0.5000

=====

[6]
Here is crystalline KGaGe at its relaxed geometry from the Alexandria database. Energies are from GGA-PBE.

Properties
Uncorrected energy, eV/atom: -2.83
Symmetry: Cmcm
Energy of formation from the pure elements, eV per atom: 0.083
Total magnetization, μB/f.u.: 0.0

abc: 6.9498 6.9498 4.7018
angles: 90.00 90.00 122.80
Sites, in units of the cell vectors:
K 0.6316 0.3684 0.2500
K 0.3684 0.6316 0.7500
Ge 0.0493 0.9507 0.7500
Ge 0.9507 0.0493 0.2500
Ga 0.8297 0.1703 0.7500
Ga 0.1703 0.8297 0.2500

=====

[7]
Here is crystalline Tm3CoPb at its relaxed geometry from the Alexandria database. Energies are from GGA-PBE.

Properties
Uncorrected energy, eV/atom: -5.12
Symmetry: Pmmn
Excess energy over the best structure of this formula in the dataset, meV per atom: 84
Energy of formation from the pure elements, eV per atom: -0.278
Total magnetization, μB/f.u.: 0.0

abc: 4.5712 6.6044 8.4295
angles: 90.00 90.00 90.00
Sites, in units of the cell vectors:
Pb 0.7500 0.2500 0.1596
Pb 0.2500 0.7500 0.8404
Co 0.7500 0.7500 0.3965
Co 0.2500 0.2500 0.6035
Tm 0.7500 0.0036 0.6468
Tm 0.7500 0.4964 0.6468
Tm 0.2500 0.2500 0.9115
Tm 0.2500 0.5036 0.3532
Tm 0.2500 0.9964 0.3532
Tm 0.7500 0.7500 0.0885

=====

[8]
Here is crystalline CoTcAg2 at its relaxed geometry from the Alexandria database. Energies are from GGA-PBE.

Properties
Uncorrected energy, eV/atom: -5.20
Symmetry: Pmmm
Excess energy over the best structure of this formula in the dataset, meV per atom: 326
Energy of formation from the pure elements, eV per atom: 0.589
Total magnetization, μB/f.u.: 2.3

abc: 2.7273 4.6475 4.8931
angles: 90.00 90.00 90.00
Sites, in units of the cell vectors:
Ag 0.0000 0.0000 0.0000
Ag 0.5000 0.5000 0.0000
Tc 0.0000 0.5000 0.5000
Co 0.5000 0.0000 0.5000

=====

[9]
Here is crystalline RbBiF2 at its relaxed geometry from the Alexandria database. Energies are from GGA-PBE.

Properties
Uncorrected energy, eV/atom: -4.20
Symmetry: R-3m
Excess energy over the best structure of this formula in the dataset, meV per atom: 0
E_form (uncorrected), eV/atom: -2.048
Total magnetization, μB/f.u.: 0.0

abc: 8.2467 8.2467 8.2467
angles: 26.46 26.46 26.46
Sites, in units of the cell vectors:
F 0.0964 0.0964 0.0964
F 0.9036 0.9036 0.9036
Rb 0.5000 0.5000 0.5000
Bi 0.0000 0.0000 0.0000

=====

[10]
Here is crystalline NbGeRhF2 at its relaxed geometry from the Alexandria database. Energies are from GGA-PBE.

Properties
Uncorrected energy, eV/atom: -5.97
Symmetry: P4/mmm
E_form (uncorrected), eV/atom: -0.811
Total magnetization, μB/f.u.: 0.0

abc: 3.9449 5.4900 3.9449
angles: 90.00 90.00 90.00
Sites, in units of the cell vectors:
Rh 0.5000 0.5000 0.5000
Ge 0.0000 0.5000 0.0000
F 0.0000 0.0000 0.5000
F 0.5000 0.0000 0.0000
Nb 0.0000 0.0000 0.0000

=====

[11]
Here is crystalline Tm2Mg3Cu2 at its relaxed geometry from the Alexandria database. Energies are from GGA-PBE.

Properties
Uncorrected energy, eV/atom: -3.31
Symmetry: C2/m
Energy of formation from the pure elements, eV per atom: -0.174
Total magnetization, μB/f.u.: 0.0

abc: 3.9041 5.5164 7.5062
angles: 96.49 90.00 110.72
Sites, in units of the cell vectors:
Mg 0.6872 0.3743 0.8565
Mg 0.3128 0.6257 0.1435
Mg 0.0000 0.0000 0.0000
Cu 0.9157 0.8314 0.3622
Cu 0.0843 0.1686 0.6378
Tm 0.3739 0.7478 0.6350
Tm 0.6261 0.2522 0.3650

=====

[12]
Here is crystalline PuMgIrPd at its relaxed geometry from the Alexandria database. Energies are from GGA-PBE.

Properties
Uncorrected energy, eV/atom: -7.94
Symmetry: F-43m
Energy of formation from the pure elements, eV per atom: -0.449
Total magnetization, μB/f.u.: 4.9

abc: 4.7269 4.7269 4.7269
angles: 60.00 60.00 60.00
Sites, in units of the cell vectors:
Ir 0.7500 0.7500 0.7500
Pd 0.2500 0.2500 0.2500
Pu 0.0000 0.0000 0.0000
Mg 0.5000 0.5000 0.5000

=====

[13]
Here is crystalline ThSc2Ni at its relaxed geometry from the Alexandria database. Energies are from GGA-PBE.

Properties
Uncorrected energy, eV/atom: -6.68
Symmetry: P4/mmm
Excess energy over the best structure of this formula in the dataset, meV per atom: 35
Energy of formation from the pure elements, eV per atom: -0.210
Total magnetization, μB/f.u.: 0.0

abc: 3.2793 3.2793 8.1903
angles: 90.00 90.00 90.00
Sites, in units of the cell vectors:
Ni 0.5000 0.5000 0.0000
Sc 0.0000 0.0000 0.1843
Sc 0.0000 0.0000 0.8157
Th 0.5000 0.5000 0.5000

=====

[14]
Here is crystalline K2CaAg at its relaxed geometry from the Alexandria database. Energies are from GGA-PBE.

Properties
Uncorrected energy, eV/atom: -1.71
Symmetry: Cm
Excess energy over the best structure of this formula in the dataset, meV per atom: 70
Energy of formation from the pure elements, eV per atom: 0.055
Total magnetization, μB/f.u.: 0.0

abc: 5.7391 5.7391 9.1052
angles: 73.19 73.19 42.81
Sites, in units of the cell vectors:
K 0.1685 0.1685 0.3077
K 0.9995 0.9995 0.9421
Ca 0.8112 0.8112 0.6250
Ag 0.5209 0.5209 0.6252

=====

[15]
Here is crystalline GdTh2Rh at its relaxed geometry from the Alexandria database. Energies are from GGA-PBE.

Properties
Uncorrected energy, eV/atom: -9.16
Symmetry: R-3m
Excess energy over the best structure of this formula in the dataset, meV per atom: 222
Energy of formation from the pure elements, eV per atom: -0.089
Total magnetization, μB/f.u.: 8.1

abc: 3.7796 3.7796 10.4941
angles: 79.63 79.63 60.00
Sites, in units of the cell vectors:
Gd 0.0000 0.0000 0.0000
Th 0.8919 0.8919 0.3242
Th 0.1081 0.1081 0.6758
Rh 0.5000 0.5000 0.5000

=====

[16]
Here is crystalline In2OsW at its relaxed geometry from the Alexandria database. Energies are from GGA-PBE.

Properties
Uncorrected energy, eV/atom: -6.65
Symmetry: Cmmm
Excess energy over the best structure of this formula in the dataset, meV per atom: 563
Energy of formation from the pure elements, eV per atom: 0.768
Total magnetization, μB/f.u.: 0.0

abc: 5.1287 5.1287 3.0033
angles: 90.00 90.00 114.24
Sites, in units of the cell vectors:
Os 0.5000 0.0000 0.5000
W 0.0000 0.5000 0.5000
In 0.5000 0.5000 0.0000
In 0.0000 0.0000 0.0000

=====

[17]
Here is crystalline RbCdBi at its relaxed geometry from the Alexandria database. Energies are from GGA-PBE.

Properties
Uncorrected energy, eV/atom: -2.05
Symmetry: P-6m2
Energy of formation from the pure elements, eV per atom: -0.133
Total magnetization, μB/f.u.: 0.0

abc: 3.8108 5.6925 5.6925
angles: 120.00 90.00 90.00
Sites, in units of the cell vectors:
Bi 0.1672 0.0000 0.0000
Cd 0.1662 0.6667 0.3333
Rb 0.6666 0.3333 0.6667

=====

[18]
Here is crystalline SmHoOsPd at its relaxed geometry from the Alexandria database. Energies are from GGA-PBE.

Properties
Uncorrected energy, eV/atom: -6.90
Symmetry: F-43m
Energy of formation from the pure elements, eV per atom: -0.475
Total magnetization, μB/f.u.: 0.0

abc: 4.9180 4.9180 4.9180
angles: 60.00 60.00 60.00
Sites, in units of the cell vectors:
Ho 0.2500 0.2500 0.2500
Sm 0.7500 0.7500 0.7500
Os 0.5000 0.5000 0.5000
Pd 0.0000 0.0000 0.0000

=====

[19]
Here is crystalline Sm3DyEr2 at its relaxed geometry from the Alexandria database. Energies are from GGA-PBE.

Properties
Uncorrected energy, eV/atom: -4.64
Symmetry: C2/c
Energy of formation from the pure elements, eV per atom: 0.003
Total magnetization, μB/f.u.: 0.0

abc: 7.2045 6.2392 9.5801
angles: 102.55 112.09 90.00
Sites, in units of the cell vectors:
Sm 0.9576 0.9730 0.6648
Sm 0.1274 0.7500 0.0000
Sm 0.8726 0.2500 0.0000
Sm 0.2928 0.5270 0.3352
Sm 0.7072 0.4730 0.6648
Sm 0.0424 0.0270 0.3352
Er 0.4577 0.9718 0.6670
Er 0.2093 0.4718 0.6670
Er 0.7907 0.5282 0.3330
Er 0.5423 0.0282 0.3330
Dy 0.3767 0.2500 0.0000
Dy 0.6233 0.7500 0.0000

=====

[20]
Here is crystalline CeSm2Be at its relaxed geometry from the Alexandria database. Energies are from GGA-PBE.

Properties
Uncorrected energy, eV/atom: -4.63
Symmetry: P4/mmm
Excess energy over the best structure of this formula in the dataset, meV per atom: 0
Energy of formation from the pure elements, eV per atom: 0.143
Total magnetization, μB/f.u.: 1.2

abc: 3.5022 3.5022 8.5927
angles: 90.00 90.00 90.00
Sites, in units of the cell vectors:
Sm 0.0000 0.0000 0.1961
Sm 0.0000 0.0000 0.8039
Be 0.5000 0.5000 0.0000
Ce 0.5000 0.5000 0.5000

=====

[21]
Here is crystalline BaCa2LaHg at its relaxed geometry from the Alexandria database. Energies are from GGA-PBE.

Properties
Uncorrected energy, eV/atom: -2.31
Symmetry: P4/mmm
Excess energy over the best structure of this formula in the dataset, meV per atom: 0
Energy of formation from the pure elements, eV per atom: -0.077
Total magnetization, μB/f.u.: 0.0

abc: 6.0664 6.0664 6.0580
angles: 90.00 90.00 90.00
Sites, in units of the cell vectors:
Ba 0.5000 0.5000 0.5000
Ca 0.0000 0.5000 0.0000
Ca 0.5000 0.0000 0.0000
Hg 0.0000 0.0000 0.0000
La 0.0000 0.0000 0.5000

=====

[22]
Here is crystalline CsIn2Hg at its relaxed geometry from the Alexandria database. Energies are from GGA-PBE.

Properties
Uncorrected energy, eV/atom: -1.75
Symmetry: R-3m
Energy of formation from the pure elements, eV per atom: -0.094
Total magnetization, μB/f.u.: 0.0

abc: 4.9963 4.9963 7.8857
angles: 71.53 71.53 60.00
Sites, in units of the cell vectors:
Hg 0.0000 0.0000 0.0000
In 0.7065 0.7065 0.8804
In 0.2935 0.2935 0.1196
Cs 0.5000 0.5000 0.5000

=====

[23]
Here is crystalline Hf8Au2C3 at its relaxed geometry from the Alexandria database. Energies are from GGA-PBE.

Properties
Uncorrected energy, eV/atom: -9.19
Symmetry: C2/m
Energy of formation from the pure elements, eV per atom: -0.429
Total magnetization, μB/f.u.: 0.0

abc: 5.7937 6.5868 7.5143
angles: 115.99 104.04 90.00
Sites, in units of the cell vectors:
Hf 0.6131 0.1554 0.8156
Hf 0.9280 0.6007 0.2014
Hf 0.3869 0.3398 0.1844
Hf 0.1045 0.9031 0.8062
Hf 0.0720 0.3993 0.7986
Hf 0.3869 0.8446 0.1844
Hf 0.6131 0.6602 0.8156
Hf 0.8955 0.0969 0.1938
C 0.0000 0.2432 0.0000
C 0.0000 0.7568 0.0000
C 0.5000 0.0000 0.0000
Au 0.6685 0.7455 0.4910
Au 0.3315 0.2545 0.5090

=====

[24]
Here is crystalline CePuPdRu at its relaxed geometry from the Alexandria database. Energies are from GGA-PBE.

Properties
Uncorrected energy, eV/atom: -9.04
Symmetry: F-43m
Energy of formation from the pure elements, eV per atom: -0.352
Total magnetization, μB/f.u.: 5.4

abc: 4.9130 4.9130 4.9130
angles: 60.00 60.00 60.00
Sites, in units of the cell vectors:
Pu 0.5000 0.5000 0.5000
Ru 0.7500 0.7500 0.7500
Pd 0.2500 0.2500 0.2500
Ce 0.0000 0.0000 0.0000

=====

[25]
Here is crystalline LiTmAlOs at its relaxed geometry from the Alexandria database. Energies are from GGA-PBE.

Properties
Uncorrected energy, eV/atom: -5.61
Symmetry: F-43m
Energy of formation from the pure elements, eV per atom: -0.270
Total magnetization, μB/f.u.: 0.0

abc: 4.5790 4.5790 4.5790
angles: 60.00 60.00 60.00
Sites, in units of the cell vectors:
Tm 0.2500 0.2500 0.2500
Os 0.5000 0.5000 0.5000
Li 0.0000 0.0000 0.0000
Al 0.7500 0.7500 0.7500

=====

[26]
Here is crystalline Sc5Si2Se2 at its relaxed geometry from the Alexandria database. Energies are from GGA-PBE.

Properties
Uncorrected energy, eV/atom: -6.65
Symmetry: Cmce
E_form (uncorrected), eV/atom: -1.149
Total magnetization, μB/f.u.: 0.0

abc: 7.0917 7.1231 7.7301
angles: 90.00 62.70 90.00
Sites, in units of the cell vectors:
Se 0.2973 0.5000 0.4055
Se 0.7973 0.0000 0.4055
Se 0.7027 0.5000 0.5945
Se 0.2027 0.0000 0.5945
Sc 0.5351 0.8335 0.2646
Sc 0.4649 0.1665 0.7354
Sc 0.0351 0.6665 0.2646
Sc 0.2003 0.1665 0.2646
Sc 0.0000 0.0000 0.0000
Sc 0.9649 0.3335 0.7354
Sc 0.7003 0.3335 0.2646
Sc 0.5000 0.5000 0.0000
Sc 0.2997 0.6665 0.7354
Sc 0.7997 0.8335 0.7354
Si 0.8724 0.6263 0.0000
Si 0.6276 0.1263 0.0000
Si 0.1276 0.3737 0.0000
Si 0.3724 0.8737 0.0000

=====

[27]
Here is crystalline KIrS at its relaxed geometry from the Alexandria database. Energies are from GGA-PBE.

Properties
Uncorrected energy, eV/atom: -4.87
Symmetry: Cm
Excess energy over the best structure of this formula in the dataset, meV per atom: 198
E_form (uncorrected), eV/atom: -0.171
Total magnetization, μB/f.u.: 0.0

abc: 6.2776 3.9272 6.3767
angles: 90.00 110.98 90.00
Sites, in units of the cell vectors:
K 0.9454 0.5000 0.6952
K 0.9454 0.0000 0.1952
S 0.3930 0.0000 0.0080
S 0.3930 0.5000 0.5080
Ir 0.4970 0.5000 0.8876
Ir 0.4970 0.0000 0.3876